Record 1
CsAlTe3: relaxed, PBE-GGA. Values from VASP.

Properties
Formation energy (no corrections)   -64 kJ per mole of atoms
Space-group type   P2_1/c

```
&SYSTEM
  ibrav = 0, nat = 20, ntyp = 3
/
ATOMIC_SPECIES
Cs 132.91 Cs.upf
Al 26.98 Al.upf
Te 127.60 Te.upf
CELL_PARAMETERS angstrom
8.382 0.000 0.000
0.000 14.172 0.000
-1.786 0.000 7.209
ATOMIC_POSITIONS crystal
Cs 0.248 0.078 0.215
Cs 0.248 0.422 0.715
Cs 0.752 0.578 0.285
Cs 0.752 0.922 0.785
Al 0.321 0.728 0.336
Al 0.321 0.772 0.836
Al 0.679 0.228 0.164
Al 0.679 0.272 0.664
Te 0.050 0.679 0.847
Te 0.050 0.821 0.347
Te 0.216 0.572 0.151
Te 0.216 0.928 0.651
Te 0.497 0.173 0.841
Te 0.497 0.327 0.341
Te 0.503 0.673 0.659
Te 0.503 0.827 0.159
Te 0.784 0.072 0.349
Te 0.784 0.428 0.849
Te 0.950 0.179 0.653
Te 0.950 0.321 0.153
```



Record 2
TaPCl2: relaxed, PBE-GGA. Values from VASP.

Properties
Formation energy (no corrections)   15 kJ per mole of atoms
N(E_F)   1.75 states/eV per cell
Space-group type   P4/mmm

```
&SYSTEM
  ibrav = 0, nat = 4, ntyp = 3
/
ATOMIC_SPECIES
Ta 180.95 Ta.upf
P 30.97 P.upf
Cl 35.45 Cl.upf
CELL_PARAMETERS angstrom
2.945 0.000 0.000
0.000 2.945 0.000
0.000 0.000 9.449
ATOMIC_POSITIONS crystal
Ta 0.000 0.000 0.000
P 0.000 0.000 0.500
Cl 0.500 0.500 0.165
Cl 0.500 0.500 0.835
```



Record 3
NaNbGe3: relaxed, PBE-GGA. Values from VASP.

Properties
Calculated formation energy   0.60 eV per formula unit
N(E_F)   4.29 states/eV per cell
Space-group type   Pm-3m

```
&SYSTEM
  ibrav = 0, nat = 5, ntyp = 3
/
ATOMIC_SPECIES
Na 22.99 Na.upf
Nb 92.91 Nb.upf
Ge 72.64 Ge.upf
CELL_PARAMETERS angstrom
5.062 0.000 0.000
0.000 5.062 0.000
0.000 0.000 5.062
ATOMIC_POSITIONS crystal
Na 0.000 0.000 0.000
Nb 0.500 0.500 0.500
Ge 0.000 0.500 0.500
Ge 0.500 0.000 0.500
Ge 0.500 0.500 0.000
```



Record 4
RbPtBr4: relaxed, PBE-GGA. Values from VASP.

Properties
Formation energy (no corrections)   -66 kJ per mole of atoms
N(E_F)   8.61 states/eV per cell
Space-group type   C2/c

```
&SYSTEM
  ibrav = 0, nat = 12, ntyp = 3
/
ATOMIC_SPECIES
Rb 85.47 Rb.upf
Pt 195.08 Pt.upf
Br 79.90 Br.upf
CELL_PARAMETERS angstrom
6.032 -3.876 0.000
6.032 3.876 0.000
-4.545 0.000 10.204
ATOMIC_POSITIONS crystal
Rb 0.000 0.500 0.000
Rb 0.500 0.000 0.500
Pt 0.249 0.751 0.750
Pt 0.751 0.249 0.250
Br 0.066 0.117 0.167
Br 0.117 0.066 0.667
Br 0.380 0.437 0.833
Br 0.437 0.380 0.333
Br 0.563 0.620 0.667
Br 0.620 0.563 0.167
Br 0.883 0.934 0.333
Br 0.934 0.883 0.833
```



Record 5
LiMnSi: relaxed, PBE-GGA. Values from VASP.

Properties
Formation energy (no corrections)   22 kJ per mole of atoms
N(E_F)   8.70 states/eV per cell
Space-group type   F-43m

```
&SYSTEM
  ibrav = 0, nat = 12, ntyp = 3
/
ATOMIC_SPECIES
Li 6.94 Li.upf
Mn 54.94 Mn.upf
Si 28.09 Si.upf
CELL_PARAMETERS angstrom
5.788 0.000 0.000
0.000 5.788 0.000
0.000 0.000 5.788
ATOMIC_POSITIONS crystal
Li 0.000 0.000 0.000
Li 0.000 0.500 0.500
Li 0.500 0.000 0.500
Li 0.500 0.500 0.000
Mn 0.250 0.250 0.250
Mn 0.250 0.750 0.750
Mn 0.750 0.250 0.750
Mn 0.750 0.750 0.250
Si 0.000 0.000 0.500
Si 0.000 0.500 0.000
Si 0.500 0.000 0.000
Si 0.500 0.500 0.500
```



Record 6
CaIrOs2: relaxed, PBE-GGA. Values from VASP.

Properties
Calculated formation energy   2.31 eV per formula unit
N(E_F)   11.66 states/eV per cell
Space-group type   C2/m

```
&SYSTEM
  ibrav = 0, nat = 8, ntyp = 3
/
ATOMIC_SPECIES
Ca 40.08 Ca.upf
Ir 192.22 Ir.upf
Os 190.23 Os.upf
CELL_PARAMETERS angstrom
5.437 0.000 0.000
0.000 9.643 0.000
-1.118 0.000 2.479
ATOMIC_POSITIONS crystal
Ca 0.000 0.000 0.000
Ca 0.500 0.500 0.000
Ir 0.000 0.500 0.000
Ir 0.500 0.000 0.000
Os 0.250 0.250 0.500
Os 0.250 0.750 0.500
Os 0.750 0.250 0.500
Os 0.750 0.750 0.500
```



Record 7
Ba2TlBiSb: relaxed, PBE-GGA. Values from VASP.

Properties
Formation energy (no corrections)   -68 kJ per mole of atoms
N(E_F)   3.72 states/eV per cell
Space-group type   P2_1/m

```
&SYSTEM
  ibrav = 0, nat = 10, ntyp = 4
/
ATOMIC_SPECIES
Ba 137.33 Ba.upf
Tl 204.38 Tl.upf
Bi 208.98 Bi.upf
Sb 121.76 Sb.upf
CELL_PARAMETERS angstrom
8.702 0.000 0.000
0.000 5.377 0.000
-0.246 0.000 8.893
ATOMIC_POSITIONS crystal
Ba 0.003 0.250 0.302
Ba 0.494 0.250 0.266
Ba 0.506 0.750 0.734
Ba 0.997 0.750 0.698
Tl 0.160 0.750 0.076
Tl 0.840 0.250 0.924
Bi 0.243 0.250 0.914
Bi 0.757 0.750 0.086
Sb 0.262 0.750 0.403
Sb 0.738 0.250 0.597
```



Record 8
Li2AlCdO4: relaxed, PBE-GGA. Values from VASP.

Properties
Formation energy (no corrections)   -177 kJ per mole of atoms
N(E_F)   7.99 states/eV per cell
Space-group type   I-42m

```
&SYSTEM
  ibrav = 0, nat = 16, ntyp = 4
/
ATOMIC_SPECIES
Li 6.94 Li.upf
Al 26.98 Al.upf
Cd 112.41 Cd.upf
O 16.00 O.upf
CELL_PARAMETERS angstrom
4.752 0.000 0.000
0.000 4.752 0.000
0.000 0.000 8.454
ATOMIC_POSITIONS crystal
Li 0.000 0.500 0.250
Li 0.000 0.500 0.750
Li 0.500 0.000 0.250
Li 0.500 0.000 0.750
Al 0.000 0.000 0.000
Al 0.500 0.500 0.500
Cd 0.000 0.000 0.500
Cd 0.500 0.500 0.000
O 0.214 0.214 0.876
O 0.214 0.786 0.124
O 0.286 0.286 0.376
O 0.286 0.714 0.624
O 0.714 0.286 0.624
O 0.714 0.714 0.376
O 0.786 0.214 0.124
O 0.786 0.786 0.876
```



Record 9
TlBr2Cl: relaxed, PBE-GGA. Values from VASP.

Properties
Formation energy (no corrections)   -47 kJ per mole of atoms
N(E_F)   0.00 states/eV per cell
Space-group type   Cm

```
&SYSTEM
  ibrav = 0, nat = 8, ntyp = 3
/
ATOMIC_SPECIES
Tl 204.38 Tl.upf
Br 79.90 Br.upf
Cl 35.45 Cl.upf
CELL_PARAMETERS angstrom
10.155 0.000 0.000
0.000 4.929 0.000
-0.096 0.000 6.317
ATOMIC_POSITIONS crystal
Tl 0.000 0.000 0.000
Tl 0.500 0.500 0.000
Br 0.031 0.500 0.588
Br 0.361 0.000 0.298
Br 0.531 0.000 0.588
Br 0.861 0.500 0.298
Cl 0.196 0.500 0.889
Cl 0.696 0.000 0.889
```



Record 10
RbGaCl2: relaxed, PBE-GGA. Values from VASP.

Properties
Formation energy (no corrections)   -112 kJ per mole of atoms
N(E_F)   0.00 states/eV per cell
Space-group type   R-3m

```
&SYSTEM
  ibrav = 0, nat = 12, ntyp = 3
/
ATOMIC_SPECIES
Rb 85.47 Rb.upf
Ga 69.72 Ga.upf
Cl 35.45 Cl.upf
CELL_PARAMETERS angstrom
4.946 0.000 0.000
-2.473 4.284 0.000
0.000 0.000 26.376
ATOMIC_POSITIONS crystal
Rb 0.000 0.000 0.000
Rb 0.333 0.667 0.667
Rb 0.667 0.333 0.333
Ga 0.000 0.000 0.500
Ga 0.333 0.667 0.167
Ga 0.667 0.333 0.833
Cl 0.000 0.000 0.400
Cl 0.000 0.000 0.600
Cl 0.333 0.667 0.067
Cl 0.333 0.667 0.266
Cl 0.667 0.333 0.734
Cl 0.667 0.333 0.933
```



Question: Which formula does entry 3 have?
Answer: NaNbGe3



Please write out number 8 again, unchanged.
Li2AlCdO4: relaxed, PBE-GGA. Values from VASP.

Properties
Formation energy (no corrections)   -177 kJ per mole of atoms
N(E_F)   7.99 states/eV per cell
Space-group type   I-42m

```
&SYSTEM
  ibrav = 0, nat = 16, ntyp = 4
/
ATOMIC_SPECIES
Li 6.94 Li.upf
Al 26.98 Al.upf
Cd 112.41 Cd.upf
O 16.00 O.upf
CELL_PARAMETERS angstrom
4.752 0.000 0.000
0.000 4.752 0.000
0.000 0.000 8.454
ATOMIC_POSITIONS crystal
Li 0.000 0.500 0.250
Li 0.000 0.500 0.750
Li 0.500 0.000 0.250
Li 0.500 0.000 0.750
Al 0.000 0.000 0.000
Al 0.500 0.500 0.500
Cd 0.000 0.000 0.500
Cd 0.500 0.500 0.000
O 0.214 0.214 0.876
O 0.214 0.786 0.124
O 0.286 0.286 0.376
O 0.286 0.714 0.624
O 0.714 0.286 0.624
O 0.714 0.714 0.376
O 0.786 0.214 0.124
O 0.786 0.786 0.876
```